Entry from Alexandria via LeMat-Bulk: a crystal of NbFe3Se relaxed with PBEsol (meta-GGA SCAN).

The uncorrected formation energy comes out at 3.9 eV/f.u. As for the symmetry: Pm-3m (221). The density of states at the Fermi level comes out at 0.626 states/eV/atom.

Unit cell a=4.230 b=4.230 c=4.230 alpha=90.00 beta=90.00 gamma=90.00
Each line ends with the local moment (μB).
Positions (direct):
Nb 0.500 0.500 0.500  -1.39
Fe 0.000 0.500 0.000  2.25
Fe 0.000 0.000 0.500  2.25
Fe 0.500 0.000 0.000  2.25
Se 0.000 0.000 0.000  -0.09